# PBE AlInAs2, optimized geometry
data_AlInAs2
_symmetry_space_group_name_H-M 'C 1 m 1'
_symmetry_Int_Tables_number 8
_cell_length_a 7.487
_cell_length_b 3.734
_cell_length_c 6.641
_cell_angle_alpha 90.00
_cell_angle_beta 90.36
_cell_angle_gamma 90.00
loop_
_symmetry_equiv_pos_as_xyz
'x,y,z'
'x,-y,z'
'x+1/2,y+1/2,z'
'x+1/2,-y+1/2,z'
loop_
_atom_site_label
_atom_site_type_symbol
_atom_site_fract_x
_atom_site_fract_y
_atom_site_fract_z
Al1 Al 0.000 0.000 0.000
In1 In 0.196 0.000 0.500
As1 As 0.197 0.500 0.168
As2 As 0.494 0.000 0.725
# **E above lowest polymorph**: 0.924 eV/f.u.
# **N(E_F)**: 3.10 states/eV per cell
# **Energy of formation from the pure elements**: -51 kJ/mol of formula units
# **Uncorrected energy**: -32.61 eV for the cell shown

---

# PBE AlIn2As, optimized geometry
data_AlIn2As
_symmetry_space_group_name_H-M 'C 1 2/m 1'
_symmetry_Int_Tables_number 12
_cell_length_a 6.864
_cell_length_b 8.494
_cell_length_c 3.169
_cell_angle_alpha 90.00
_cell_angle_beta 98.45
_cell_angle_gamma 90.00
loop_
_symmetry_equiv_pos_as_xyz
'x,y,z'
'-x,-y,-z'
'-x,y,-z'
'x,-y,z'
'x+1/2,y+1/2,z'
'-x+1/2,-y+1/2,-z'
'-x+1/2,y+1/2,-z'
'x+1/2,-y+1/2,z'
loop_
_atom_site_label
_atom_site_type_symbol
_atom_site_fract_x
_atom_site_fract_y
_atom_site_fract_z
Al1 Al 0.000 0.000 0.000
In1 In 0.250 0.250 0.500
As1 As 0.000 0.500 0.000
# **E above lowest polymorph**: 0.905 eV/f.u.
# **N(E_F)**: 3.03 states/eV per cell
# **Energy of formation from the pure elements**: 69 kJ/mol of formula units
# **Uncorrected energy**: -26.32 eV for the cell shown

---

# PBE AlInAs2, optimized geometry
data_AlInAs2
_symmetry_space_group_name_H-M 'C m m m'
_symmetry_Int_Tables_number 65
_symmetry_space_group_name_Hall '-C 2 2'
_cell_length_a 6.179
_cell_length_b 7.178
_cell_length_c 3.711
_cell_angle_alpha 90.00
_cell_angle_beta 90.00
_cell_angle_gamma 90.00
loop_
_atom_site_label
_atom_site_type_symbol
_atom_site_fract_x
_atom_site_fract_y
_atom_site_fract_z
Al1 Al 0.000 0.000 0.000
In1 In 0.000 0.500 0.000
As1 As 0.250 0.250 0.500
# **E above lowest polymorph**: 2.254 eV/f.u.
# **N(E_F)**: 4.02 states/eV per cell
# **Energy of formation from the pure elements**: 77 kJ/mol of formula units
# **Uncorrected energy**: -29.95 eV for the cell shown

---

# PBE AlInAs2, optimized geometry
data_AlInAs2
_symmetry_space_group_name_H-M 'A m m 2'
_symmetry_Int_Tables_number 38
_cell_length_a 5.258
_cell_length_b 5.284
_cell_length_c 6.591
_cell_angle_alpha 90.00
_cell_angle_beta 90.00
_cell_angle_gamma 90.00
loop_
_symmetry_equiv_pos_as_xyz
'x,y,z'
'-x,-y,z'
'-x,y,z'
'x,-y,z'
'x,y+1/2,z+1/2'
'-x,-y+1/2,z+1/2'
'-x,y+1/2,z+1/2'
'x,-y+1/2,z+1/2'
loop_
_atom_site_label
_atom_site_type_symbol
_atom_site_fract_x
_atom_site_fract_y
_atom_site_fract_z
Al1 Al 0.000 0.000 0.000
In1 In 0.500 0.000 0.530
As1 As 0.000 0.000 0.385
As2 As 0.500 0.000 0.933
# **E above lowest polymorph**: 1.041 eV/f.u.
# **N(E_F)**: 2.47 states/eV per cell
# **Energy of formation from the pure elements**: -40 kJ/mol of formula units
# **Uncorrected energy**: -32.38 eV for the cell shown

---

# PBE AlInAs2, optimized geometry
data_AlInAs2
_symmetry_space_group_name_H-M 'I m m m'
_symmetry_Int_Tables_number 71
_symmetry_space_group_name_Hall '-I 2 2'
_cell_length_a 3.479
_cell_length_b 4.739
_cell_length_c 10.097
_cell_angle_alpha 90.00
_cell_angle_beta 90.00
_cell_angle_gamma 90.00
loop_
_atom_site_label
_atom_site_type_symbol
_atom_site_fract_x
_atom_site_fract_y
_atom_site_fract_z
Al1 Al 0.000 0.000 0.000
In1 In 0.000 0.000 0.500
As1 As 0.000 0.500 0.298
# **E above lowest polymorph**: 2.142 eV/f.u.
# **N(E_F)**: 4.78 states/eV per cell
# **Energy of formation from the pure elements**: 67 kJ/mol of formula units
# **Uncorrected energy**: -30.18 eV for the cell shown

---

# PBE AlIn2As, optimized geometry
data_AlIn2As
_symmetry_space_group_name_H-M 'F m -3 m'
_symmetry_Int_Tables_number 225
_symmetry_space_group_name_Hall '-F 4 2 3'
_cell_length_a 7.176
_cell_length_b 7.176
_cell_length_c 7.176
_cell_angle_alpha 90.00
_cell_angle_beta 90.00
_cell_angle_gamma 90.00
loop_
_atom_site_label
_atom_site_type_symbol
_atom_site_fract_x
_atom_site_fract_y
_atom_site_fract_z
Al1 Al 0.000 0.000 0.000
In1 In 0.250 0.250 0.250
As1 As 0.000 0.000 0.500
# **E above lowest polymorph**: 1.008 eV/f.u.
# **N(E_F)**: 8.28 states/eV per cell
# **Energy of formation from the pure elements**: 79 kJ/mol of formula units
# **Uncorrected energy**: -52.22 eV for the cell shown

---

# PBE AlInAs2, optimized geometry
data_AlInAs2
_symmetry_space_group_name_H-M 'P 4 m m'
_symmetry_Int_Tables_number 99
_cell_length_a 3.628
_cell_length_b 3.628
_cell_length_c 6.857
_cell_angle_alpha 90.00
_cell_angle_beta 90.00
_cell_angle_gamma 90.00
loop_
_symmetry_equiv_pos_as_xyz
'x,y,z'
'-y,x,z'
'-x,-y,z'
'y,-x,z'
'-x,y,z'
'y,x,z'
'x,-y,z'
'-y,-x,z'
loop_
_atom_site_label
_atom_site_type_symbol
_atom_site_fract_x
_atom_site_fract_y
_atom_site_fract_z
Al1 Al 0.000 0.000 0.000
In1 In 0.500 0.500 0.742
As1 As 0.000 0.000 0.375
As2 As 0.500 0.500 0.234
# **E above lowest polymorph**: 2.193 eV/f.u.
# **N(E_F)**: 2.18 states/eV per cell
# **Energy of formation from the pure elements**: 72 kJ/mol of formula units
# **Uncorrected energy**: -15.04 eV for the cell shown

---

# PBE AlIn2As2, optimized geometry
data_AlIn2As2
_symmetry_space_group_name_H-M 'P 4/m b m'
_symmetry_Int_Tables_number 127
_symmetry_space_group_name_Hall '-P 4 2ab'
_cell_length_a 7.572
_cell_length_b 7.572
_cell_length_c 3.992
_cell_angle_alpha 90.00
_cell_angle_beta 90.00
_cell_angle_gamma 90.00
loop_
_atom_site_label
_atom_site_type_symbol
_atom_site_fract_x
_atom_site_fract_y
_atom_site_fract_z
Al1 Al 0.000 0.000 0.000
In1 In 0.144 0.356 0.500
As1 As 0.175 0.675 0.000
# **N(E_F)**: 3.59 states/eV per cell
# **Energy of formation from the pure elements**: 60 kJ/mol of formula units
# **Uncorrected energy**: -35.80 eV for the cell shown

---

# PBE AlInAs2, optimized geometry
data_AlInAs2
_symmetry_space_group_name_H-M 'R 3 m'
_symmetry_Int_Tables_number 160
_symmetry_space_group_name_Hall 'R 3 -2"'
_cell_length_a 3.0645
_cell_length_b 3.0645
_cell_length_c 30.0945
_cell_angle_alpha 90.00
_cell_angle_beta 90.00
_cell_angle_gamma 120.00
loop_
_atom_site_label
_atom_site_type_symbol
_atom_site_fract_x
_atom_site_fract_y
_atom_site_fract_z
Al1 Al 0.0000 0.0000 0.0000
In1 In 0.0000 0.0000 0.7531
As1 As 0.0000 0.0000 0.2611
As2 As 0.0000 0.0000 0.5077
# **E above lowest polymorph**: 2.632 eV/f.u.
# **N(E_F)**: 4.29 states/eV per cell
# **Energy of formation from the pure elements**: 114 kJ/mol of formula units
# **Uncorrected energy**: -43.80 eV for the cell shown

---

# PBE Al2InAs3, optimized geometry
data_Al2InAs3
_symmetry_space_group_name_H-M 'C 1 c 1'
_symmetry_Int_Tables_number 9
_cell_length_a 7.189
_cell_length_b 12.468
_cell_length_c 7.185
_cell_angle_alpha 90.00
_cell_angle_beta 109.37
_cell_angle_gamma 90.00
loop_
_symmetry_equiv_pos_as_xyz
'x,y,z'
'x,-y,z+1/2'
'x+1/2,y+1/2,z'
'x+1/2,-y+1/2,z+1/2'
loop_
_atom_site_label
_atom_site_type_symbol
_atom_site_fract_x
_atom_site_fract_y
_atom_site_fract_z
Al1 Al 0.000 0.083 0.000
Al2 Al 0.000 0.247 0.501
In1 In 0.499 0.087 0.501
As1 As 0.107 0.082 0.367
As2 As 0.133 0.239 0.869
As3 As 0.136 0.407 0.391
# **Energy of formation from the pure elements**: -233 kJ/mol of formula units
# **Uncorrected energy**: -106.33 eV for the cell shown

---

# PBE AlInAs2, optimized geometry
data_AlInAs2
_symmetry_space_group_name_H-M 'P 1 2/m 1'
_symmetry_Int_Tables_number 10
_cell_length_a 4.540
_cell_length_b 3.884
_cell_length_c 5.370
_cell_angle_alpha 90.00
_cell_angle_beta 107.97
_cell_angle_gamma 90.00
loop_
_symmetry_equiv_pos_as_xyz
'x,y,z'
'-x,-y,-z'
'-x,y,-z'
'x,-y,z'
loop_
_atom_site_label
_atom_site_type_symbol
_atom_site_fract_x
_atom_site_fract_y
_atom_site_fract_z
Al1 Al 0.000 0.000 0.000
In1 In 0.500 0.000 0.500
As1 As 0.254 0.500 0.811
# **E above lowest polymorph**: 1.471 eV/f.u.
# **N(E_F)**: 2.10 states/eV per cell
# **Energy of formation from the pure elements**: 2 kJ/mol of formula units
# **Uncorrected energy**: -15.76 eV for the cell shown

---

# PBE AlIn2As, optimized geometry
data_AlIn2As
_symmetry_space_group_name_H-M 'P m m m'
_symmetry_Int_Tables_number 47
_cell_length_a 4.114
_cell_length_b 4.611
_cell_length_c 4.821
_cell_angle_alpha 90.00
_cell_angle_beta 90.00
_cell_angle_gamma 90.00
loop_
_symmetry_equiv_pos_as_xyz
'x,y,z'
'-x,-y,-z'
'-x,-y,z'
'x,y,-z'
'x,-y,-z'
'-x,y,z'
'-x,y,-z'
'x,-y,z'
loop_
_atom_site_label
_atom_site_type_symbol
_atom_site_fract_x
_atom_site_fract_y
_atom_site_fract_z
Al1 Al 0.000 0.000 0.000
In1 In 0.000 0.500 0.500
In2 In 0.500 0.500 0.000
As1 As 0.500 0.000 0.500
# **E above lowest polymorph**: 0.884 eV/f.u.
# **N(E_F)**: 1.50 states/eV per cell
# **Energy of formation from the pure elements**: 67 kJ/mol of formula units
# **Uncorrected energy**: -13.18 eV for the cell shown